6
Lattice="4.5886 0.0000 0.0000 -2.2943 3.9739 0.0000 0.0000 0.0000 5.5752" Properties=species:S:1:pos:R:3 comment="Mg2NpIr3, optimized geometry, DFT PBE" total_energy_ev_per_cell=-44.96 formation_energy_kcal_per_mol_atoms=-8.7 dos_ef_per_ev_atom=1.055 volume_a3_per_cell=102 m_tot_mub_per_fu=2.58 pbc="T T T"
Mg 0.0000 2.6493 0.8485
Mg 2.2943 1.3246 4.7267
Np 0.0000 0.0000 2.7876
Ir 0.0000 0.0000 0.0000
Ir 0.0000 2.6493 3.7124
Ir 2.2943 1.3246 1.8628

***

10
Lattice="6.9729 0.0000 0.0000 0.0000 6.9729 0.0000 0.0000 0.0000 3.7899" Properties=species:S:1:pos:R:3 comment="Mg2Zn2Ag, optimized geometry, DFT PBE" total_energy_ev_per_cell=-17.92 polymorph_energy_mev_per_atom=42 formation_energy_kcal_per_mol_atoms=-1.7 dos_ef_per_ev_atom=0.349 volume_a3_per_cell=184 m_tot_mub_per_fu=0.00 pbc="T T T"
Mg 1.1865 2.2999 0.0000
Mg 2.2999 5.7864 0.0000
Mg 4.6730 1.1865 0.0000
Mg 5.7864 4.6730 0.0000
Zn 0.9035 4.3899 1.8949
Zn 2.5830 0.9035 1.8949
Zn 4.3899 6.0695 1.8949
Zn 6.0695 2.5830 1.8949
Ag 0.0000 0.0000 1.8949
Ag 3.4865 3.4865 1.8949

***

5
Lattice="-1.9903 1.9903 5.5297 1.9903 -1.9903 5.5297 1.9903 1.9903 -5.5297" Properties=species:S:1:pos:R:3 comment="PmMnSi2W, optimized geometry, DFT PBE" total_energy_ev_per_cell=-39.90 raw_formation_energy_ev_per_fu=-2.18 dos_ef_per_ev_atom=0.621 volume_a3_per_cell=88 m_tot_mub_per_fu=2.21 pbc="T T T"
Pm 0.0000 0.0000 0.0000
Mn 1.9903 0.0000 2.7648
Si 0.0000 0.0000 4.2772
Si 0.0000 0.0000 6.7821
W 0.0000 1.9903 2.7648

***

4
Lattice="0.0000 3.7375 3.7375 3.7375 0.0000 3.7375 3.7375 3.7375 0.0000" Properties=species:S:1:pos:R:3 comment="BaSc2Be, optimized geometry, DFT PBE" total_energy_ev_per_cell=-15.86 formation_energy_kcal_per_mol_atoms=14.1 dos_ef_per_ev_atom=1.752 volume_a3_per_cell=104 m_tot_mub_per_fu=0.76 pbc="T T T"
Ba 0.0000 0.0000 0.0000
Sc 1.8687 1.8687 1.8687
Sc 3.7375 3.7375 3.7375
Be 5.6062 5.6062 5.6062

***

12
Lattice="8.5794 -1.8917 0.0000 8.5794 1.8917 0.0000 -6.4068 0.0000 9.4555" Properties=species:S:1:pos:R:3 comment="Hf2Bi3H, optimized geometry, DFT PBE" total_energy_ev_per_cell=-70.89 dos_ef_per_ev_atom=0.536 volume_a3_per_cell=307 m_tot_mub_per_fu=0.00 pbc="T T T"
Hf -0.0228 0.0000 1.7572
Hf 6.8659 0.0000 0.0147
Hf 3.8862 0.0000 9.4408
Hf 10.7748 0.0000 7.6984
Bi -2.6009 0.0000 8.1438
Bi 0.3265 0.0000 6.2458
Bi 3.9411 0.0000 6.0493
Bi 6.8110 0.0000 3.4062
Bi 10.4255 0.0000 3.2097
Bi 13.3529 0.0000 1.3117
H 1.0715 0.0000 0.0550
H 9.6805 0.0000 9.4005

***

12
Lattice="3.1853 -5.5211 0.0000 3.1853 5.5211 0.0000 -2.1381 0.0000 12.0053" Properties=species:S:1:pos:R:3 comment="La3PmNd6Y2, optimized geometry, DFT PBE" total_energy_ev_per_cell=-60.88 formation_energy_kcal_per_mol_atoms=0.4 dos_ef_per_ev_atom=1.722 volume_a3_per_cell=422 m_tot_mub_per_fu=0.00 pbc="T T T"
La 0.0000 0.0000 0.0000
La 3.1853 1.8418 0.0000
La 3.1853 -1.8418 0.0000
Pm 2.1162 0.0000 6.0027
Nd 1.0584 1.8410 3.0520
Nd -0.0118 0.0000 8.9527
Nd 1.0584 -1.8410 3.0520
Nd 3.1740 1.8410 8.9533
Nd 4.2442 0.0000 3.0527
Nd 3.1740 -1.8410 8.9533
Y 2.1162 3.6799 6.0027
Y 2.1162 -3.6799 6.0027

***

28
Lattice="6.0400 0.0000 0.0000 0.0000 6.0400 0.0000 0.0000 0.0000 8.4839" Properties=species:S:1:pos:R:3 comment="Mg2TiO4, optimized geometry, DFT PBE" total_energy_ev_per_cell=-204.43 raw_formation_energy_ev_per_fu=-20.19 polymorph_energy_mev_per_atom=0 dos_ef_per_ev_atom=0.000 volume_a3_per_cell=310 m_tot_mub_per_fu=0.00 pbc="T T T"
Mg 0.0000 1.5075 0.0000
Mg 0.0000 4.5325 4.2420
Mg 1.5075 0.0000 6.3630
Mg 1.5232 1.5232 3.1815
Mg 1.5232 4.5168 1.0605
Mg 4.5168 1.5232 5.3025
Mg 4.5168 4.5168 7.4234
Mg 4.5325 0.0000 2.1210
Ti 1.4289 3.0200 6.3630
Ti 3.0200 1.4289 0.0000
Ti 3.0200 4.6112 4.2420
Ti 4.6112 3.0200 2.1210
O 0.1639 1.5878 6.3784
O 0.1639 4.4522 6.3475
O 1.5752 2.9228 8.3393
O 1.5752 3.1172 4.3866
O 1.5878 0.1639 8.4685
O 1.5878 5.8761 4.2574
O 2.9228 1.5752 6.5076
O 2.9228 4.4648 6.2183
O 3.1172 1.5752 1.9764
O 3.1172 4.4648 2.2656
O 4.4522 0.1639 0.0155
O 4.4522 5.8761 4.2265
O 4.4648 2.9228 0.1446
O 4.4648 3.1172 4.0973
O 5.8761 1.5878 2.1055
O 5.8761 4.4522 2.1365

***

3
Lattice="-1.7156 1.7156 6.7481 1.7156 -1.7156 6.7481 1.7156 1.7156 -6.7481" Properties=species:S:1:pos:R:3 comment="CeYGa, optimized geometry, DFT PBE" total_energy_ev_per_cell=-16.31 polymorph_energy_mev_per_atom=135 formation_energy_kcal_per_mol_atoms=-6.8 dos_ef_per_ev_atom=1.862 volume_a3_per_cell=79 m_tot_mub_per_fu=0.81 pbc="T T T"
Ce 0.0000 0.0000 0.0000
Y 0.0000 0.0000 3.9094
Ga 0.0000 0.0000 8.7559

***

5
Lattice="4.9092 0.0000 0.0000 0.0000 4.9092 0.0000 0.0000 0.0000 4.8117" Properties=species:S:1:pos:R:3 comment="YInOs2Pd, optimized geometry, DFT PBE" total_energy_ev_per_cell=-30.38 formation_energy_kcal_per_mol_atoms=29.9 dos_ef_per_ev_atom=1.093 volume_a3_per_cell=116 m_tot_mub_per_fu=1.73 pbc="T T T"
Y 0.0000 0.0000 0.0000
In 2.4546 2.4546 2.4058
Os 0.0000 2.4546 2.4058
Os 2.4546 0.0000 2.4058
Pd 2.4546 2.4546 0.0000

***

Repeat the sixth record exactly.
12
Lattice="3.1853 -5.5211 0.0000 3.1853 5.5211 0.0000 -2.1381 0.0000 12.0053" Properties=species:S:1:pos:R:3 comment="La3PmNd6Y2, optimized geometry, DFT PBE" total_energy_ev_per_cell=-60.88 formation_energy_kcal_per_mol_atoms=0.4 dos_ef_per_ev_atom=1.722 volume_a3_per_cell=422 m_tot_mub_per_fu=0.00 pbc="T T T"
La 0.0000 0.0000 0.0000
La 3.1853 1.8418 0.0000
La 3.1853 -1.8418 0.0000
Pm 2.1162 0.0000 6.0027
Nd 1.0584 1.8410 3.0520
Nd -0.0118 0.0000 8.9527
Nd 1.0584 -1.8410 3.0520
Nd 3.1740 1.8410 8.9533
Nd 4.2442 0.0000 3.0527
Nd 3.1740 -1.8410 8.9533
Y 2.1162 3.6799 6.0027
Y 2.1162 -3.6799 6.0027